First-principles (PBE) data for a relaxed Tc2TeRhBr crystal, as listed in Alexandria via LeMat-Bulk.

The calculation puts the electronic total energy at -5.1964 eV/atom.

The structure belongs to space group P4/mmm (No. 123); the cell edges are 5.054, 5.054 and 4.702 Å and the angles 90.00°, 90.00° and 90.00°. The inequivalent atoms are Tc at (0.000, 0.500, 0.000), Te at (0.000, 0.000, 0.500), Rh at (0.500, 0.500, 0.000) and Br at (0.500, 0.500, 0.500).

=====

First-principles (PBE) data for a relaxed Zn2TcRhBr crystal, as listed in Alexandria via LeMat-Bulk.

The calculation puts the electronic total energy at -3.5395 eV/atom.

The structure belongs to space group P4/mmm (No. 123); the cell edges are 4.977, 4.977 and 4.636 Å and the angles 90.00°, 90.00° and 90.00°. The inequivalent atoms are Zn at (0.000, 0.500, 0.000), Tc at (0.000, 0.000, 0.000), Rh at (0.000, 0.000, 0.500) and Br at (0.500, 0.500, 0.500).

=====

First-principles (PBE) data for a relaxed TeRhBr crystal, as listed in Alexandria via LeMat-Bulk.

The calculation puts the electronic total energy at -4.4859 eV/atom.

The structure belongs to space group Cm (No. 8); the cell edges are 6.553, 3.796 and 6.763 Å and the angles 90.00°, 97.61° and 90.00°. The inequivalent atoms are Te at (0.000, 0.000, 0.000), Rh at (0.195, 0.500, 0.207) and Br at (0.392, 0.000, 0.439).

=====

First-principles (PBE) data for a relaxed TeRhBr crystal, as listed in Alexandria via LeMat-Bulk.

The calculation puts the electronic total energy at -4.4859 eV/atom.

The structure belongs to space group P3m1 (No. 156); the cell edges are 3.7908, 3.7908 and 6.6188 Å and the angles 90.00°, 90.00° and 120.00°. The inequivalent atoms are Te at (0.0000, 0.0000, 0.0000), Rh at (0.6667, 0.3333, 0.7900) and Br at (0.3333, 0.6667, 0.5553).

=====

First-principles (PBE) data for a relaxed Te3RhBr crystal, as listed in Alexandria via LeMat-Bulk.

The calculation puts the electronic total energy at -3.3820 eV/atom. The value obtained for the energy above the most stable polymorph in this dataset is 0 kJ/mol of formula units.

The structure belongs to space group Pm-3m (No. 221); the cell edges are 5.258, 5.258 and 5.258 Å and the angles 90.00°, 90.00° and 90.00°. The inequivalent atoms are Te at (0.000, 0.000, 0.500), Rh at (0.000, 0.000, 0.000) and Br at (0.500, 0.500, 0.500).

=====

First-principles (PBE) data for a relaxed TeRhBr crystal, as listed in Alexandria via LeMat-Bulk.

The calculation puts the electronic total energy at -3.9400 eV/atom.

The structure belongs to space group F-43m (No. 216); the cell edges are 6.559, 6.559 and 6.559 Å and the angles 90.00°, 90.00° and 90.00°. The inequivalent atoms are Te at (0.000, 0.000, 0.000), Rh at (0.250, 0.250, 0.750) and Br at (0.000, 0.000, 0.500).

=====

| no. | magnetization (μB/f.u.) | formation energy without anion corrections (eV per formula unit) |
| --- | --- | --- |
| 1 | 6.665 | 6.9 |
| 2 | 0.615 | 4.2 |
| 3 | 0.000 | -1.3 |
| 4 | 0.000 | -1.3 |
| 5 | 0.000 | 1.5 |
| 6 | 0.000 | 0.3 |